KSb2MoAs | GGA-PBE | optimized geometry

Uncorrected formation energy   25.75 kcal/mol of atoms
Density of states at the Fermi level   3.90 states/eV/f.u.
V   33.04 Å³/atom
Mass density   4.6 g/cm³

Lattice parameters (Å, degrees): 5.4187 5.4187 5.6270 90.00 90.00 90.00
Fractional positions:
K 0.0000 0.0000 0.0000
Sb 0.0000 0.5000 0.5000
Sb 0.5000 0.0000 0.5000
Mo 0.5000 0.5000 0.0000
As 0.0000 0.0000 0.5000